DFT (PBE with a Hubbard U) results for a relaxed VZnO2 crystal.

abc: 3.0023 8.6170 9.8377
angles: 112.69 98.75 100.04
Each line ends with the local moment (μB).
Fractional coordinates of all 16 atoms:
Zn (0.1989, 0.0957, 0.2988)  0.01
O (0.7898, 0.1193, 0.4595)  0.00
V (0.4080, 0.1864, 0.6299)  1.95
O (0.2343, 0.2547, 0.2119)  -0.02
Zn (0.1785, 0.3804, 0.9798)  -0.03
O (0.7903, 0.7735, 0.8081)  -0.02
O (0.5644, 0.4338, 0.6954)  -0.06
O (0.2349, 0.9090, 0.5606)  0.00
Zn (0.8264, 0.9326, 0.7213)  0.01
O (0.9787, 0.1845, 0.7738)  -0.02
O (0.0456, 0.8437, 0.2462)  -0.02
V (0.6165, 0.8418, 0.3902)  1.95
Zn (0.8425, 0.6477, 0.0403)  -0.03
V (0.8331, 0.4208, 0.2438)  1.94
O (0.4604, 0.5945, 0.3247)  -0.06
V (0.1915, 0.6075, 0.7764)  1.94

VASP energy	-6.084	eV/atom
volume	14.0	Å³ per atom
DOS at the Fermi energy	0.0386	states/eV per atom